The following is a PBE calculation of a relaxed structure of HoGa2GeRu2, from the Alexandria database.

Computed properties:
The density of states at the Fermi level comes out at 0.814 states/eV/atom. Its calculated formation energy is -0.16 eV per atom.

abc: 4.544 4.544 5.568
angles: 90.00 90.00 90.00
Sites, in units of the cell vectors:
Ge1 0.000 0.000 0.000
Ru1 0.000 0.500 0.000
Ru2 0.500 0.000 0.000
Ga1 0.500 0.500 0.731
Ga2 0.500 0.500 0.269
Ho1 0.000 0.000 0.500

=====

The following is a PBE calculation of a relaxed structure of Ho4GaGeS2, from the Alexandria database.

Computed properties:
The formation energy without anion corrections comes out at -1.340 eV/atom. The density of states at the Fermi level comes out at 0.536 states/eV/atom.

abc: 5.687 5.687 6.956
angles: 114.13 114.13 90.00
Sites, in units of the cell vectors:
Ge1 0.750 0.250 0.500
S1 0.250 0.750 0.500
S2 0.000 0.000 0.000
Ho1 0.242 0.242 0.485
Ho2 0.005 0.505 0.010
Ho3 0.495 0.995 0.990
Ho4 0.758 0.758 0.515
Ga1 0.500 0.500 0.000

=====

The following is a PBE calculation of a relaxed structure of HoScGaGe, from the Alexandria database.

Computed properties:
The polymorph energy (0 for the lowest one) is 0 meV/atom. The density of states at the Fermi level comes out at 0.807 states/eV/atom. Its calculated formation energy is -0.75 eV per atom.

abc: 4.184 3.912 5.634
angles: 90.00 111.79 90.00
Sites, in units of the cell vectors:
Ge1 0.583 0.500 0.166
Sc1 0.137 0.000 0.275
Ho1 0.860 0.500 0.720
Ga1 0.420 0.000 0.839

=====

The following is a PBE calculation of a relaxed structure of HoScGaGe, from the Alexandria database.

Computed properties:
The polymorph energy (0 for the lowest one) is 199 meV/atom. The density of states at the Fermi level comes out at 0.820 states/eV/atom. Its calculated formation energy is -0.55 eV per atom.

abc: 4.909 4.909 4.909
angles: 60.00 60.00 60.00
Sites, in units of the cell vectors:
Ge1 0.250 0.250 0.250
Sc1 0.500 0.500 0.500
Ho1 0.000 0.000 0.000
Ga1 0.750 0.750 0.750

=====

The following is a PBE calculation of a relaxed structure of SmHoGaGe, from the Alexandria database.

Computed properties:
The polymorph energy (0 for the lowest one) is 0 meV/atom. The density of states at the Fermi level comes out at 0.830 states/eV/atom. Its calculated formation energy is -0.78 eV per atom.

abc: 4.362 4.032 5.875
angles: 90.00 111.79 90.00
Sites, in units of the cell vectors:
Ge1 0.421 0.000 0.842
Sm1 0.141 0.000 0.281
Ho1 0.861 0.500 0.722
Ga1 0.577 0.500 0.154

=====

The following is a PBE calculation of a relaxed structure of SmHoGaGe, from the Alexandria database.

Computed properties:
The polymorph energy (0 for the lowest one) is 206 meV/atom. The density of states at the Fermi level comes out at 0.538 states/eV/atom. Its calculated formation energy is -0.57 eV per atom.

abc: 5.099 5.099 5.099
angles: 60.00 60.00 60.00
Sites, in units of the cell vectors:
Ga1 0.750 0.750 0.750
Sm1 0.000 0.000 0.000
Ge1 0.250 0.250 0.250
Ho1 0.500 0.500 0.500

=====

The following is a PBE calculation of a relaxed structure of Ho4GaGeTe2, from the Alexandria database.

Computed properties:
The formation energy without anion corrections comes out at -1.024 eV/atom. The density of states at the Fermi level comes out at 0.516 states/eV/atom.

abc: 4.191 7.178 7.633
angles: 108.58 90.00 90.00
Sites, in units of the cell vectors:
Ho1 0.500 0.762 0.776
Ho2 0.000 0.255 0.770
Ho3 0.500 0.238 0.224
Ho4 0.000 0.745 0.230
Ge1 0.000 0.000 0.000
Te1 0.000 0.500 0.500
Te2 0.500 0.000 0.500
Ga1 0.500 0.500 0.000

=====

The following is a PBE calculation of a relaxed structure of Ho8GaGe3Te4, from the Alexandria database.

Computed properties:
The formation energy without anion corrections comes out at -1.094 eV/atom. The density of states at the Fermi level comes out at 0.369 states/eV/atom.

abc: 8.414 8.613 8.414
angles: 119.24 120.00 90.00
Sites, in units of the cell vectors:
Ge1 0.500 0.500 0.000
Ge2 0.000 0.500 0.500
Ge3 0.500 0.500 0.500
Ho1 0.757 0.276 0.019
Ho2 0.243 0.724 0.981
Ho3 0.739 0.717 0.478
Ho4 0.261 0.276 0.019
Ho5 0.261 0.283 0.522
Ho6 0.739 0.724 0.981
Ho7 0.243 0.724 0.486
Ho8 0.757 0.276 0.514
Te1 0.000 0.000 0.500
Te2 0.500 0.000 0.000
Te3 0.000 0.000 0.000
Te4 0.500 0.000 0.500
Ga1 0.000 0.500 0.000

=====

The following is a PBE calculation of a relaxed structure of HoZnGaGe, from the Alexandria database.

Computed properties:
The density of states at the Fermi level comes out at 0.422 states/eV/atom. Its calculated formation energy is -0.46 eV per atom.

abc: 4.141 4.375 4.227
angles: 90.00 90.00 90.00
Sites, in units of the cell vectors:
Zn1 0.500 0.500 0.000
Ho1 0.500 0.000 0.500
Ga1 0.000 0.500 0.500
Ge1 0.000 0.000 0.000

=====

The following is a PBE calculation of a relaxed structure of Ga2Ge2I, from the Alexandria database.

Computed properties:
The polymorph energy (0 for the lowest one) is 0 meV/atom. The formation energy without anion corrections comes out at 0.100 eV/atom. The density of states at the Fermi level comes out at 0.618 states/eV/atom.

abc: 4.740 4.740 6.145
angles: 67.31 67.31 90.00
Sites, in units of the cell vectors:
Ga1 0.750 0.250 0.500
Ga2 0.250 0.750 0.500
I1 0.000 0.000 0.000
Ge1 0.375 0.375 0.249
Ge2 0.625 0.625 0.751

=====

The following is a PBE calculation of a relaxed structure of GaGe2I8, from the Alexandria database.

Computed properties:
The polymorph energy (0 for the lowest one) is 27 meV/atom. The formation energy without anion corrections comes out at -0.210 eV/atom. The density of states at the Fermi level comes out at 0.226 states/eV/atom.

abc: 8.369 8.250 9.836
angles: 87.30 90.00 120.48
Sites, in units of the cell vectors:
I1 0.167 0.333 0.552
I2 0.629 0.258 0.779
I3 0.639 0.789 0.806
I4 0.371 0.742 0.221
I5 0.851 0.211 0.194
I6 0.149 0.789 0.806
I7 0.833 0.667 0.448
I8 0.361 0.211 0.194
Ge1 0.809 0.617 0.709
Ge2 0.191 0.383 0.291
Ga1 0.000 0.000 0.000

=====

The following is a PBE calculation of a relaxed structure of GaGeI5, from the Alexandria database.

Computed properties:
The formation energy without anion corrections comes out at -0.363 eV/atom.

abc: 8.062 8.069 11.599
angles: 109.32 109.95 91.97
Sites, in units of the cell vectors:
Ga1 0.613 0.368 0.752
Ga2 0.385 0.639 0.252
I1 0.665 0.098 0.828
I2 0.238 0.338 0.054
I3 0.910 0.138 0.233
I4 0.732 0.667 0.949
I5 0.716 0.317 0.553
I6 0.097 0.825 0.733
I7 0.261 0.310 0.653
I8 0.344 0.892 0.153
I9 0.284 0.718 0.450
I10 0.732 0.665 0.328
Ge1 0.011 0.527 0.526
Ge2 0.000 0.016 0.026